CeY2Hf: relaxed, PBE.

Cell and atoms, written as extended XYZ:
```
4
Lattice="4.9570 0.0000 0.0000 0.0000 4.7911 0.0000 0.0000 0.0000 4.7911" Properties=species:S:1:pos:R:3 pbc="T T T"
Ce 2.4785 0.0000 0.0000
Y 0.0000 2.3956 0.0000
Y 0.0000 0.0000 2.3956
Hf 2.4785 2.3956 2.3956
```

Properties
D(E_F) = 4.677 states/eV/cell
total DFT energy (no corrections) = -28.15 eV for the cell shown
excess energy over the best structure of this formula in the dataset = 0 kJ/mol of formula units
magnetization = 0.0 μB/cell
formation energy = 166 meV/atom